Material: PuI3
Method: DFT, GGA-PBE
State: relaxed

Output
Uncorrected formation energy: -1.0190 eV per atom

Unit cell a=4.053 b=12.231 c=7.771 alpha=90.00 beta=90.00 gamma=90.00
Space group Imm2 (No. 44)
One atom of each set of equivalent atoms:
Pu  0.000  0.000  0.000
I  0.000  0.334  0.658
I  0.000  0.500  0.196

***

Material: PuI
Method: DFT, GGA-PBE
State: relaxed

Output
Uncorrected formation energy: -0.4912 eV per atom

Unit cell a=3.864 b=3.864 c=3.864 alpha=90.00 beta=90.00 gamma=90.00
Space group Pm-3m (No. 221)
One atom of each set of equivalent atoms:
Pu  0.000  0.000  0.000
I  0.500  0.500  0.500

***

Material: Pu2I5
Method: DFT, GGA-PBE
State: relaxed

Output
Uncorrected formation energy: -1.0478 eV per atom

Unit cell a=17.514 b=7.409 c=8.241 alpha=90.00 beta=97.14 gamma=90.00
Space group C2/c (No. 15)
One atom of each set of equivalent atoms:
Pu  0.114  0.222  0.087
I  0.000  0.070  0.750
I  0.088  0.387  0.429
I  0.217  0.085  0.817

***

Material: PuI3
Method: DFT, GGA-PBE
State: relaxed

Output
Uncorrected formation energy: -1.0223 eV per atom

Unit cell a=7.7124 b=7.7124 c=21.2943 alpha=90.00 beta=90.00 gamma=120.00
Space group R-3c (No. 167, hexagonal axes)
One atom of each set of equivalent atoms:
Pu  0.0000  0.0000  0.0000
I  0.0000  0.3421  0.2500

***

Material: PuI3
Method: DFT, GGA-PBE
State: relaxed

Output
Uncorrected formation energy: -1.0551 eV per atom

Unit cell a=4.248 b=15.455 c=9.998 alpha=90.00 beta=90.00 gamma=90.00
Space group Cmcm (No. 63)
One atom of each set of equivalent atoms:
Pu  0.000  0.240  0.250
I  0.000  0.155  0.568
I  0.000  0.407  0.750

***

Material: Rb3Pu2I9
Method: DFT, GGA-PBE
State: relaxed

Output
Uncorrected formation energy: -1.2392 eV per atom

Unit cell a=14.8915 b=14.8915 c=21.2784 alpha=90.00 beta=90.00 gamma=120.00
Space group R-3c (No. 167, hexagonal axes)
One atom of each set of equivalent atoms:
Rb  0.0000  0.3193  0.2500
Pu  0.0000  0.0000  0.1529
I  0.0000  0.1598  0.7500
I  0.0171  0.1875  0.4138

***

Material: RbPu5I12
Method: DFT, GGA-PBE
State: relaxed

Output
Uncorrected formation energy: -1.1246 eV per atom

Unit cell a=7.983 b=13.855 c=15.472 alpha=90.00 beta=90.10 gamma=90.00
Space group C2/m (No. 12)
One atom of each set of equivalent atoms:
Rb  0.000  0.000  0.000
Pu  0.000  0.167  0.500
Pu  0.000  0.333  0.000
Pu  0.000  0.500  0.500
I  0.120  0.500  0.125
I  0.166  0.000  0.384
I  0.166  0.333  0.385
I  0.190  0.190  0.125

***

Material: Rb3PuI6
Method: DFT, GGA-PBE
State: relaxed

Output
Uncorrected formation energy: -1.3359 eV per atom

Unit cell a=8.644 b=9.424 c=15.286 alpha=90.00 beta=124.36 gamma=90.00
Space group P2_1/c (No. 14)
One atom of each set of equivalent atoms:
Rb  0.000  0.000  0.000
Rb  0.214  0.087  0.750
Pu  0.500  0.000  0.500
I  0.147  0.175  0.437
I  0.271  0.717  0.430
I  0.405  0.051  0.273

***

Material: Rb2PuI5
Method: DFT, GGA-PBE
State: relaxed

Output
Offset from the most stable computed form: 60 kJ/mol of formula units
Uncorrected formation energy: -1.2139 eV per atom

Unit cell a=9.046 b=9.046 c=10.586 alpha=90.00 beta=90.00 gamma=90.00
Space group I4mm (No. 107)
One atom of each set of equivalent atoms:
Rb  0.000  0.500  0.000
Pu  0.000  0.000  0.265
I  0.000  0.000  0.538
I  0.238  0.238  0.236

***

Material: Rb2PuI8
Method: DFT, GGA-PBE
State: relaxed

Output
Uncorrected formation energy: -0.8763 eV per atom

Unit cell a=15.621 b=12.855 c=6.572 alpha=90.00 beta=103.75 gamma=90.00
Space group C2/m (No. 12)
One atom of each set of equivalent atoms:
Rb  0.217  0.000  0.108
Pu  0.000  0.500  0.000
I  0.002  0.000  0.257
I  0.078  0.334  0.790
I  0.171  0.500  0.328

***

Material: Rb3PuI7
Method: DFT, GGA-PBE
State: relaxed

Output
Uncorrected formation energy: -1.1605 eV per atom

Unit cell a=13.028 b=11.716 c=9.482 alpha=90.00 beta=129.50 gamma=90.00
Space group Cm (No. 8)
One atom of each set of equivalent atoms:
Rb  0.000  0.000  0.000
Rb  0.014  0.280  0.588
Pu  0.063  0.500  0.140
I  0.129  0.249  0.314
I  0.205  0.500  0.975
I  0.370  0.000  0.228
I  0.371  0.178  0.829
I  0.374  0.500  0.522

***

Material: RbPu4I8
Method: DFT, GGA-PBE
State: relaxed

Output
Offset from the most stable computed form: 118 kJ/mol of formula units
Uncorrected formation energy: -0.9656 eV per atom

Unit cell a=13.348 b=13.348 c=13.348 alpha=90.00 beta=90.00 gamma=90.00
Space group F-43m (No. 216)
One atom of each set of equivalent atoms:
Rb  0.000  0.000  0.000
Pu  0.114  0.114  0.614
I  0.124  0.124  0.376
I  0.143  0.143  0.857